## Li3CuH4 (GGA-PBE)

Data for Li3CuH4 after structural relaxation.

Unit cell a=5.820 b=5.044 c=4.554 alpha=90.00 beta=90.00 gamma=90.00
Sites, in units of the cell vectors:
Li1 0.000 0.138 0.000
Li2 0.246 0.326 0.498
Li3 0.254 0.674 0.998
Li4 0.500 0.862 0.500
Li5 0.746 0.674 0.998
Li6 0.754 0.326 0.498
Cu1 0.000 0.816 0.497
Cu2 0.500 0.184 0.997
H1 0.000 0.129 0.592
H2 0.000 0.809 0.141
H3 0.239 0.673 0.596
H4 0.261 0.327 0.096
H5 0.500 0.191 0.641
H6 0.500 0.871 0.092
H7 0.739 0.327 0.096
H8 0.761 0.673 0.596

---

## TmInAu (GGA-PBE)

Data for TmInAu after structural relaxation.

Properties
total moment: 0.01 μB per formula unit

Unit cell a=4.740 b=4.740 c=7.005 alpha=90.00 beta=90.00 gamma=120.00
Sites, in units of the cell vectors:
Tm1 0.000 0.000 0.000
Tm2 0.000 0.000 0.500
In1 0.333 0.667 0.233
In2 0.667 0.333 0.733
Au1 0.333 0.667 0.794
Au2 0.667 0.333 0.294

---

## GaCoNiHg (GGA-PBE)

Data for GaCoNiHg after structural relaxation.

Properties
total moment: 0.60 μB per formula unit

Unit cell a=4.298 b=4.298 c=4.298 alpha=60.00 beta=60.00 gamma=60.00
Sites, in units of the cell vectors:
Ga1 0.000 0.000 0.000
Co1 0.250 0.250 0.250
Ni1 0.750 0.750 0.750
Hg1 0.500 0.500 0.500

---

Short version: calculated density = 2.20, 11.71, 11.47 g/cm³, in the order given.
Short version: energy = -3.163, -4.139, -3.891 eV/atom, in the order given.